Compound: ZnFe2HgRh
Source: Alexandria via LeMat-Bulk
Functional: GGA-PBE
Structure: optimized geometry

Cell lengths 4.447, 5.146, 4.447 Å; angles 90.00, 90.00, 90.00 degrees
Each line ends with the local moment (μB).
Atoms (fractional coordinates):
Fe  0.500  0.000  0.000  -0.08
Hg  0.000  0.500  0.000  0.00
Fe  0.000  0.000  0.500  -0.05
Rh  0.000  0.000  0.000  0.01
Zn  0.500  0.500  0.500  0.01

Calculated values
- Total energy: -3.77 eV per atom
- Symmetry: P4/mmm (123)